## AlCuPb2 (PBE)

Data for a relaxed AlCuPb2 crystal.

```
data_AlCuPb2
_cell_length_a 9.4137
_cell_length_b 9.4137
_cell_length_c 4.7581
_cell_angle_alpha 90.00
_cell_angle_beta 90.00
_cell_angle_gamma 90.00
_space_group_name_H-M_alt 'I -4 2 d'
_space_group_IT_number 122
_space_group_name_Hall 'I -4 2bw'
loop_
_atom_site_label
_atom_site_fract_x
_atom_site_fract_y
_atom_site_fract_z
Al1 0.0000 0.0000 0.0000
Cu1 0.0000 0.0000 0.5000
Pb1 0.1369 0.2500 0.6250
```

Output
- formation enthalpy at 0 K (kcal/mol of atoms) = 5.9
- electronic total energy (eV/cell) = -56.9